First-principles (GGA-PBE) data for an optimized crystal structure of PaCu2F8, as listed in Alexandria via LeMat-Bulk.

As for the formation energy (no corrections): -2.55 eV/atom. For the spin magnetization, the calculation gives 0.09 μB per atom. As for the crystal system: monoclinic. For the volume, the calculation gives 318.6 Å³/cell.

a = 10.688 Å, b = 5.629 Å, c = 5.296 Å
α = 90.00°, β = 91.00°, γ = 90.00°
Space group C2/m (No. 12)
Inequivalent atoms, fractional coordinates:
Pa 0.000 0.000 0.000 (multiplicity 2)
Cu 0.201 0.500 0.471 (multiplicity 4)
F 0.096 0.234 0.249 (multiplicity 8)
F 0.125 0.500 0.774 (multiplicity 4)
F 0.164 0.000 0.765 (multiplicity 4)